1.
LiLaAs2 | SCAN | single point on PBEsol structure

```
8
Lattice="4.873 0.000 0.000 0.000 5.552 0.000 0.000 0.000 6.162" Properties=species:S:1:pos:R:3 pbc="T T T"
Li 0.000 0.000 0.000
Li 2.437 2.776 0.000
La 0.000 0.000 3.081
La 2.437 2.776 3.081
As 0.000 2.776 1.257
As 0.000 2.776 4.904
As 2.437 0.000 1.257
As 2.437 0.000 4.904
```

Output
ΔE to the lowest computed polymorph: 53 meV per atom
E_form: -0.857 eV/atom



2.
LiLaAs | SCAN | single point on PBEsol structure

```
6
Lattice="4.084 0.000 0.000 0.000 4.084 0.000 0.000 0.000 8.288" Properties=species:S:1:pos:R:3 pbc="T T T"
Li 0.000 0.000 0.000
Li 2.042 2.042 4.144
La 0.000 0.000 2.825
La 2.042 2.042 6.969
As 0.000 0.000 5.777
As 2.042 2.042 1.633
```

Output
ΔE to the lowest computed polymorph: 454 meV per atom
E_form: -0.754 eV/atom



3.
Li2LaAs | SCAN | single point on PBEsol structure

```
4
Lattice="3.982 0.000 0.000 0.000 4.070 0.000 -1.970 0.000 5.859" Properties=species:S:1:pos:R:3 pbc="T T T"
Li 0.000 0.000 0.000
Li 0.020 2.035 5.561
La 1.990 0.000 2.539
As 0.000 2.035 1.547
```

Output
E_form: -0.747 eV/atom



4.
LiLaAs2 | SCAN | single point on PBEsol structure

```
4
Lattice="4.591 0.000 0.000 0.000 4.591 0.000 0.000 0.000 4.066" Properties=species:S:1:pos:R:3 pbc="T T T"
Li 0.000 0.000 0.000
La 2.295 2.295 0.000
As 0.000 2.295 2.033
As 2.295 0.000 2.033
```

Output
ΔE to the lowest computed polymorph: 0 meV per atom
E_form: -0.910 eV/atom



5.
LaMg2As | SCAN | single point on PBEsol structure

```
4
Lattice="3.240 0.000 0.000 0.000 3.828 0.000 0.000 0.000 7.683" Properties=species:S:1:pos:R:3 pbc="T T T"
La 0.000 0.000 0.000
Mg 1.620 1.914 2.363
Mg 1.620 1.914 5.321
As 0.000 0.000 3.842
```

Output
E_form: -0.305 eV/atom



6.
LaMg2As | SCAN | single point on PBEsol structure

```
4
Lattice="3.738 0.000 0.000 0.000 3.738 0.000 0.000 0.000 6.890" Properties=species:S:1:pos:R:3 pbc="T T T"
La 0.000 0.000 0.000
Mg 0.000 0.000 3.784
Mg 1.869 1.869 2.324
As 1.869 1.869 5.208
```

Output
E_form: -0.482 eV/atom



7.
LaMgAs | SCAN | single point on PBEsol structure

```
6
Lattice="3.254 0.000 0.000 0.000 3.845 0.000 0.000 0.000 11.553" Properties=species:S:1:pos:R:3 pbc="T T T"
La 0.000 0.000 0.000
La 1.627 1.923 5.777
Mg 0.000 0.000 3.322
Mg 1.627 1.923 9.099
As 0.000 0.000 7.719
As 1.627 1.923 1.942
```

Output
ΔE to the lowest computed polymorph: 34 meV per atom
E_form: -0.625 eV/atom



8.
LaMgAs | SCAN | single point on PBEsol structure

```
12
Lattice="4.614 0.000 0.000 0.000 5.586 0.000 0.000 0.000 11.865" Properties=species:S:1:pos:R:3 pbc="T T T"
La 0.000 0.000 0.000
La 0.000 2.793 5.932
La 2.307 0.000 5.932
La 2.307 2.793 0.000
Mg 0.000 0.000 3.318
Mg 0.000 2.793 9.250
Mg 2.307 0.000 9.250
Mg 2.307 2.793 3.318
As 0.000 0.000 7.756
As 0.000 2.793 1.824
As 2.307 0.000 1.824
As 2.307 2.793 7.756
```

Output
ΔE to the lowest computed polymorph: 0 meV per atom
E_form: -0.659 eV/atom



9.
La2MgAsOs | SCAN | single point on PBEsol structure

```
5
Lattice="5.546 0.000 0.000 0.000 5.546 0.000 0.000 0.000 4.435" Properties=species:S:1:pos:R:3 pbc="T T T"
La 0.000 2.773 0.000
La 2.773 0.000 0.000
Mg 0.000 0.000 0.000
As 0.000 0.000 2.217
Os 2.773 2.773 2.217
```

Output
E_form: 0.912 eV/atom



10.
LaMn2As | SCAN | single point on PBEsol structure

```
16
Lattice="5.834 0.000 0.000 0.000 5.912 0.000 0.000 0.000 8.828" Properties=species:S:1:pos:R:3 pbc="T T T"
La 0.000 0.000 0.000
La 0.000 2.956 4.414
La 2.917 0.000 4.414
La 2.917 2.956 0.000
Mn 0.000 1.478 2.207
Mn 0.000 1.478 6.621
Mn 0.000 4.434 2.207
Mn 0.000 4.434 6.621
Mn 2.917 1.478 2.207
Mn 2.917 1.478 6.621
Mn 2.917 4.434 2.207
Mn 2.917 4.434 6.621
As 0.000 0.000 4.414
As 0.000 2.956 0.000
As 2.917 0.000 0.000
As 2.917 2.956 4.414
```

Output
E_form: -0.005 eV/atom



11.
LaMn2As | SCAN | single point on PBEsol structure

```
4
Lattice="4.061 0.000 0.000 0.000 4.449 0.000 0.000 0.000 4.458" Properties=species:S:1:pos:R:3 pbc="T T T"
La 0.000 0.000 0.000
Mn 2.031 0.970 2.229
Mn 2.031 3.479 2.229
As 0.000 2.225 2.229
```

Output
E_form: -0.029 eV/atom



12.
LaMn2As | SCAN | single point on PBEsol structure

```
4
Lattice="3.293 0.000 0.000 0.000 3.293 0.000 0.000 0.000 6.531" Properties=species:S:1:pos:R:3 pbc="T T T"
La 0.000 0.000 0.000
Mn 1.647 1.647 2.065
Mn 1.647 1.647 4.466
As 0.000 0.000 3.266
```

Output
E_form: -0.141 eV/atom